<a>
The following is a PBE-GGA calculation of a geometry-optimized Ba2HgTe structure, from the Alexandria database.

```
4
Lattice="0.000 4.205 4.205 4.205 0.000 4.205 4.205 4.205 0.000" Properties=species:S:1:pos:R:3 pbc="T T T"
Ba 0.000 0.000 0.000
Ba 2.102 2.102 2.102
Hg 6.307 6.307 6.307
Te 4.205 4.205 4.205
```

---

<b>
The following is a PBE-GGA calculation of a geometry-optimized Ba2HgTe structure, from the Alexandria database.

```
8
Lattice="-4.562 4.562 4.445 4.562 -4.562 4.445 4.562 4.562 -4.445" Properties=species:S:1:pos:R:3 pbc="T T T"
Ba 6.843 2.255 -1.111
Ba 2.255 2.281 1.111
Ba -2.281 2.306 3.333
Ba 2.306 2.281 5.556
Hg 4.562 0.000 2.222
Hg 0.000 0.000 4.445
Te 0.000 0.000 0.000
Te 0.000 4.562 2.222
```

---

Winner for stability: <b>

---

<a>
The following is a PBE-GGA calculation of a geometry-optimized Ba2HgTe structure, from the Alexandria database.

```
4
Lattice="-2.836 2.836 4.719 2.836 -2.836 4.719 2.836 2.836 -4.719" Properties=species:S:1:pos:R:3 pbc="T T T"
Ba 2.836 0.000 2.359
Ba 0.000 2.836 2.359
Hg 0.000 0.000 0.000
Te 0.000 0.000 4.719
```

---

<b>
The following is a PBE-GGA calculation of a geometry-optimized Ba2HgTe structure, from the Alexandria database.

```
4
Lattice="4.177 -4.183 0.000 4.177 4.183 0.000 -0.007 0.000 4.342" Properties=species:S:1:pos:R:3 pbc="T T T"
Ba 2.089 2.092 0.000
Ba 2.089 -2.092 0.000
Hg -0.004 0.000 2.171
Te 4.174 0.000 2.171
```

---

Winner for stability: <b>

---

<a>
The following is a PBE-GGA calculation of a geometry-optimized BaHgTe structure, from the Alexandria database.

```
3
Lattice="0.000 4.035 4.035 4.035 0.000 4.035 4.035 4.035 0.000" Properties=species:S:1:pos:R:3 pbc="T T T"
Ba 0.000 0.000 0.000
Hg 6.052 6.052 6.052
Te 2.017 2.017 2.017
```

---

<b>
The following is a PBE-GGA calculation of a geometry-optimized BaHgTe structure, from the Alexandria database.

```
6
Lattice="8.458 -2.966 0.000 8.458 2.966 0.000 -0.048 0.000 6.931" Properties=species:S:1:pos:R:3 pbc="T T T"
Ba 3.364 0.000 1.726
Ba 13.504 0.000 5.205
Hg 0.134 0.000 5.200
Hg 16.734 0.000 1.731
Te 3.329 0.000 5.191
Te 13.539 0.000 1.740
```

---

Winner for stability: <a>

---

<a>
The following is a PBE-GGA calculation of a geometry-optimized BaHg2Te2 structure, from the Alexandria database.

```
10
Lattice="8.805 0.000 0.000 0.000 8.805 0.000 0.000 0.000 4.381" Properties=species:S:1:pos:R:3 pbc="T T T"
Ba 0.000 0.000 0.000
Ba 4.403 4.403 0.000
Hg 1.307 3.095 2.190
Hg 3.095 7.498 2.190
Hg 5.710 1.307 2.190
Hg 7.498 5.710 2.190
Te 1.310 5.712 0.000
Te 3.093 1.310 0.000
Te 5.712 7.495 0.000
Te 7.495 3.093 0.000
```

---

<b>
The following is a PBE-GGA calculation of a geometry-optimized BaHg2Te2 structure, from the Alexandria database.

```
5
Lattice="-2.876 2.876 5.100 2.876 -2.876 5.100 2.876 2.876 -5.100" Properties=species:S:1:pos:R:3 pbc="T T T"
Ba 0.000 0.000 0.000
Hg 0.000 0.000 3.735
Hg 0.000 0.000 6.464
Te 2.876 0.000 2.550
Te 0.000 2.876 2.550
```

---

Winner for stability: <b>

---

<a>
The following is a PBE-GGA calculation of a geometry-optimized BaTi3Hg structure, from the Alexandria database.

```
5
Lattice="4.975 0.000 0.000 0.000 4.975 0.000 0.000 0.000 4.975" Properties=species:S:1:pos:R:3 pbc="T T T"
Ba 0.000 0.000 0.000
Ti 0.000 0.000 2.488
Ti 0.000 2.488 0.000
Ti 2.488 0.000 0.000
Hg 2.488 2.488 2.488
```

---

<b>
The following is a PBE-GGA calculation of a geometry-optimized BaTi3Hg structure, from the Alexandria database.

```
5
Lattice="5.258 0.000 0.000 0.000 5.258 0.000 0.000 0.000 5.258" Properties=species:S:1:pos:R:3 pbc="T T T"
Ba 0.000 0.000 0.000
Ti 0.000 2.629 2.629
Ti 2.629 0.000 2.629
Ti 2.629 2.629 0.000
Hg 2.629 2.629 2.629
```

---

Winner for stability: <b>

---

<a>
The following is a PBE-GGA calculation of a geometry-optimized BaTiHg3 structure, from the Alexandria database.

```
5
Lattice="6.187 0.000 0.000 0.000 6.187 0.000 0.000 0.000 6.187" Properties=species:S:1:pos:R:3 pbc="T T T"
Ba 0.000 0.000 0.000
Ti 3.094 3.094 3.094
Hg 0.000 0.000 3.094
Hg 0.000 3.094 0.000
Hg 3.094 0.000 0.000
```

---

<b>
The following is a PBE-GGA calculation of a geometry-optimized BaTiHg3 structure, from the Alexandria database.

```
5
Lattice="5.424 0.000 0.000 0.000 5.424 0.000 0.000 0.000 5.424" Properties=species:S:1:pos:R:3 pbc="T T T"
Ba 0.000 0.000 0.000
Ti 2.712 2.712 2.712
Hg 0.000 2.712 2.712
Hg 2.712 0.000 2.712
Hg 2.712 2.712 0.000
```

---

Winner for stability: <b>

---

<a>
The following is a PBE-GGA calculation of a geometry-optimized BaTl3Hg2 structure, from the Alexandria database.

```
12
Lattice="9.364 -2.608 0.000 9.364 2.608 0.000 -3.086 0.000 7.772" Properties=species:S:1:pos:R:3 pbc="T T T"
Ba 1.711 0.000 1.482
Ba 13.932 0.000 6.290
Tl -0.903 0.000 5.353
Tl 5.388 0.000 0.569
Tl 5.637 0.000 3.822
Tl 10.006 0.000 3.949
Tl 10.255 0.000 7.202
Tl 16.547 0.000 2.418
Hg 2.434 0.000 5.067
Hg 8.448 0.000 1.177
Hg 7.195 0.000 6.595
Hg 13.209 0.000 2.705
```

---

<b>
The following is a PBE-GGA calculation of a geometry-optimized BaTl3Hg2 structure, from the Alexandria database.

```
12
Lattice="9.396 -2.521 0.000 9.396 2.521 0.000 -4.739 0.000 8.162" Properties=species:S:1:pos:R:3 pbc="T T T"
Ba 1.907 0.000 1.110
Ba 12.146 0.000 7.052
Tl 17.164 0.000 2.795
Tl -3.112 0.000 5.367
Tl 5.567 0.000 1.092
Tl 3.712 0.000 4.293
Tl 10.341 0.000 3.868
Tl 8.486 0.000 7.069
Hg 0.424 0.000 5.703
Hg 8.647 0.000 1.288
Hg 5.406 0.000 6.873
Hg 13.629 0.000 2.459
```

---

Winner for stability: <a>

---

<a>
The following is a PBE-GGA calculation of a geometry-optimized BaTlHg structure, from the Alexandria database.

```
3
Lattice="-2.161 2.161 5.614 2.161 -2.161 5.614 2.161 2.161 -5.614" Properties=species:S:1:pos:R:3 pbc="T T T"
Ba 0.000 0.000 0.000
Tl 0.000 0.000 3.539
Hg 0.000 0.000 7.553
```

---

<b>
The following is a PBE-GGA calculation of a geometry-optimized BaTlHg structure, from the Alexandria database.

```
6
Lattice="6.136 -2.641 0.000 6.136 2.641 0.000 -5.675 0.000 6.331" Properties=species:S:1:pos:R:3 pbc="T T T"
Ba -1.215 0.000 1.869
Ba 7.812 0.000 4.462
Tl -0.960 0.000 5.671
Tl 7.557 0.000 0.660
Hg 2.457 0.000 1.857
Hg 4.140 0.000 4.474
```

---

<c>
The following is a PBE-GGA calculation of a geometry-optimized BaTlHg structure, from the Alexandria database.

```
3
Lattice="0.000 3.975 3.975 3.975 0.000 3.975 3.975 3.975 0.000" Properties=species:S:1:pos:R:3 pbc="T T T"
Ba 0.000 0.000 0.000
Tl 5.962 5.962 5.962
Hg 1.987 1.987 1.987
```

---

Winner for stability: <b>